[1]
## BaZnOF2 (meta-GGA SCAN)

Data for BaZnOF2 at its PBEsol-relaxed geometry.

Volume = 122 Å³ per cell
Energy relative to the elements, uncorrected = -147.8 kJ/mol of atoms
Polymorph energy (0 for the lowest one) = 1365 meV/atom
Total DFT energy (no corrections) = -14.807 eV per atom
Theoretical density = 3.50 g cm⁻³

Unit cell a=4.919 b=4.919 c=5.028 alpha=90.00 beta=90.00 gamma=90.00
Space group P4/mmm (No. 123)
Unique sites:
Ba 0.000 0.000 0.000 x1
Zn 0.500 0.500 0.500 x1
O 0.000 0.000 0.500 x1
F 0.000 0.500 0.000 x2



[2]
## BaZnOF2 (meta-GGA SCAN)

Data for BaZnOF2 at its PBEsol-relaxed geometry.

Volume = 69 Å³ per cell
Energy relative to the elements, uncorrected = -279.5 kJ/mol of atoms
Polymorph energy (0 for the lowest one) = 0 meV/atom
Total DFT energy (no corrections) = -16.173 eV per atom
Theoretical density = 6.15 g cm⁻³

Unit cell a=4.210 b=4.210 c=3.910 alpha=90.00 beta=90.00 gamma=90.00
Space group P4/mmm (No. 123)
Unique sites:
Ba 0.000 0.000 0.000 x1
Zn 0.500 0.500 0.500 x1
O 0.500 0.500 0.000 x1
F 0.000 0.500 0.500 x2



[3]
## BaOs2F2 (meta-GGA SCAN)

Data for BaOs2F2 at its PBEsol-relaxed geometry.

Volume = 191 Å³ per cell
Energy relative to the elements, uncorrected = -16.2 kJ/mol of atoms
Total DFT energy (no corrections) = -38.245 eV per atom
Theoretical density = 9.68 g cm⁻³

Unit cell a=4.336 b=4.336 c=10.137 alpha=90.00 beta=90.00 gamma=90.00
Space group I4/mmm (No. 139)
Unique sites:
Ba 0.000 0.000 0.000 x2
Os 0.000 0.000 0.394 x4
F 0.000 0.500 0.250 x4



[4]
## Ba2PF (meta-GGA SCAN)

Data for Ba2PF at its PBEsol-relaxed geometry.

Volume = 415 Å³ per cell
Energy relative to the elements, uncorrected = -198.9 kJ/mol of atoms
Total DFT energy (no corrections) = -25.321 eV per atom
Theoretical density = 5.20 g cm⁻³

Unit cell a=7.457 b=7.457 c=7.457 alpha=90.00 beta=90.00 gamma=90.00
Space group Fm-3m (No. 225)
Unique sites:
Ba 0.250 0.250 0.250 x8
P 0.000 0.000 0.000 x4
F 0.000 0.000 0.500 x4



[5]
## BaTePF2 (meta-GGA SCAN)

Data for BaTePF2 at its PBEsol-relaxed geometry.

Volume = 153 Å³ per cell
Energy relative to the elements, uncorrected = -130.8 kJ/mol of atoms
Total DFT energy (no corrections) = -20.212 eV per atom
Theoretical density = 3.62 g cm⁻³

Unit cell a=4.615 b=4.615 c=7.194 alpha=90.00 beta=90.00 gamma=90.00
Space group P4/mmm (No. 123)
Unique sites:
Ba 0.000 0.000 0.000 x1
Te 0.500 0.500 0.500 x1
P 0.000 0.000 0.500 x1
F 0.000 0.500 0.000 x2



[6]
## Ba3PbF (meta-GGA SCAN)

Data for Ba3PbF at its PBEsol-relaxed geometry.

Volume = 299 Å³ per cell
Energy relative to the elements, uncorrected = -68.7 kJ/mol of atoms
Total DFT energy (no corrections) = -40.306 eV per atom
Theoretical density = 3.55 g cm⁻³

Unit cell a=6.685 b=6.685 c=6.685 alpha=90.00 beta=90.00 gamma=90.00
Space group Pm-3m (No. 221)
Unique sites:
Ba 0.000 0.000 0.500 x3
Pb 0.000 0.000 0.000 x1
F 0.500 0.500 0.500 x1



[7]
## Ba2TiPbF (meta-GGA SCAN)

Data for Ba2TiPbF at its PBEsol-relaxed geometry.

Volume = 208 Å³ per cell
Energy relative to the elements, uncorrected = -10.1 kJ/mol of atoms
Total DFT energy (no corrections) = -34.995 eV per atom
Theoretical density = 4.38 g cm⁻³

Unit cell a=6.725 b=6.725 c=4.604 alpha=90.00 beta=90.00 gamma=90.00
Space group P4/mmm (No. 123)
Unique sites:
Ba 0.000 0.500 0.000 x2
Ti 0.000 0.000 0.500 x1
Pb 0.500 0.500 0.000 x1
F 0.500 0.500 0.500 x1



[8]
## BaPdF3 (meta-GGA SCAN)

Data for BaPdF3 at its PBEsol-relaxed geometry.

Volume = 123 Å³ per cell
Energy relative to the elements, uncorrected = -182.6 kJ/mol of atoms
Total DFT energy (no corrections) = -18.481 eV per atom
Theoretical density = 4.05 g cm⁻³

Unit cell a=4.979 b=4.979 c=4.979 alpha=90.00 beta=90.00 gamma=90.00
Space group Pm-3m (No. 221)
Unique sites:
Ba 0.000 0.000 0.000 x1
Pd 0.500 0.500 0.500 x1
F 0.000 0.000 0.500 x3



[9]
## BaPd3F (meta-GGA SCAN)

Data for BaPd3F at its PBEsol-relaxed geometry.

Volume = 95 Å³ per cell
Energy relative to the elements, uncorrected = -33.4 kJ/mol of atoms
Total DFT energy (no corrections) = -28.629 eV per atom
Theoretical density = 8.31 g cm⁻³

Unit cell a=4.564 b=4.564 c=4.564 alpha=90.00 beta=90.00 gamma=90.00
Space group Pm-3m (No. 221)
Unique sites:
Ba 0.000 0.000 0.000 x1
Pd 0.000 0.500 0.500 x3
F 0.500 0.500 0.500 x1



[10]
## BaPdSeF2 (meta-GGA SCAN)

Data for BaPdSeF2 at its PBEsol-relaxed geometry.

Volume = 144 Å³ per cell
Energy relative to the elements, uncorrected = -124.9 kJ/mol of atoms
Total DFT energy (no corrections) = -21.192 eV per atom
Theoretical density = 4.15 g cm⁻³

Unit cell a=4.634 b=4.634 c=6.721 alpha=90.00 beta=90.00 gamma=90.00
Space group P4/mmm (No. 123)
Unique sites:
Ba 0.000 0.000 0.000 x1
Pd 0.000 0.000 0.500 x1
Se 0.500 0.500 0.500 x1
F 0.000 0.500 0.000 x2



[11]
## Ba3PtF (meta-GGA SCAN)

Data for Ba3PtF at its PBEsol-relaxed geometry.

Volume = 228 Å³ per cell
Energy relative to the elements, uncorrected = -87.9 kJ/mol of atoms
Total DFT energy (no corrections) = -39.388 eV per atom
Theoretical density = 4.56 g cm⁻³

Unit cell a=6.108 b=6.108 c=6.108 alpha=90.00 beta=90.00 gamma=90.00
Space group Pm-3m (No. 221)
Unique sites:
Ba 0.000 0.000 0.500 x3
Pt 0.000 0.000 0.000 x1
F 0.500 0.500 0.500 x1



[12]
## BaTcPtF2 (meta-GGA SCAN)

Data for BaTcPtF2 at its PBEsol-relaxed geometry.

Volume = 92 Å³ per cell
Energy relative to the elements, uncorrected = -134.8 kJ/mol of atoms
Total DFT energy (no corrections) = -31.774 eV per atom
Theoretical density = 8.44 g cm⁻³

Unit cell a=4.370 b=4.370 c=4.827 alpha=90.00 beta=90.00 gamma=90.00
Space group P4/mmm (No. 123)
Unique sites:
Ba 0.000 0.000 0.000 x1
Tc 0.500 0.500 0.500 x1
Pt 0.500 0.500 0.000 x1
F 0.000 0.500 0.500 x2